--- P ---
A plane-wave DFT calculation with SCAN was carried out for a PBEsol-optimized structure of LiBe2Mo.

extended XYZ file:
```
4
Lattice="4.555 -1.189 0.000 4.555 1.189 0.000 -1.331 0.000 4.223" Properties=species:S:1:pos:R:3 pbc="T T T"
Li 0.000 0.000 0.000
Be 1.099 0.000 3.601
Be 4.288 0.000 2.190
Mo 6.735 0.000 1.609
```

## Properties
- spin magnetization (Bohr magnetons per cell) = 0.00
- volume (Å³ per cell) = 46

--- Q ---
A plane-wave DFT calculation with SCAN was carried out for a PBEsol-optimized structure of LiBe2Mo.

extended XYZ file:
```
4
Lattice="-1.204 2.156 4.349 1.204 -2.156 4.349 1.204 2.156 -4.349" Properties=species:S:1:pos:R:3 pbc="T T T"
Li 0.000 0.000 0.000
Be 0.000 0.000 4.758
Be 0.000 2.156 2.243
Mo 1.204 0.000 2.526
```

## Properties
- spin magnetization (Bohr magnetons per cell) = 0.01
- volume (Å³ per cell) = 45

Most stable structure - P; separation to the second - 0.043 eV/atom.

--- P ---
A plane-wave DFT calculation with SCAN was carried out for a PBEsol-optimized structure of LiBePt.

extended XYZ file:
```
6
Lattice="1.376 -6.481 0.000 1.376 6.481 0.000 0.000 0.000 3.867" Properties=species:S:1:pos:R:3 pbc="T T T"
Li 1.376 3.541 2.900
Li 1.376 -3.541 0.967
Be 1.376 0.778 0.967
Be 1.376 -0.778 2.900
Pt 1.376 5.300 0.967
Pt 1.376 -5.300 2.900
```

## Properties
- spin magnetization (Bohr magnetons per cell) = 0.00
- volume (Å³ per cell) = 69

--- Q ---
A plane-wave DFT calculation with SCAN was carried out for a PBEsol-optimized structure of LiBePt.

extended XYZ file:
```
3
Lattice="0.000 2.741 2.741 2.741 0.000 2.741 2.741 2.741 0.000" Properties=species:S:1:pos:R:3 pbc="T T T"
Li 0.000 0.000 0.000
Be 2.741 2.741 2.741
Pt 4.112 4.112 4.112
```

## Properties
- spin magnetization (Bohr magnetons per cell) = 0.00
- volume (Å³ per cell) = 41

Most stable structure - P; separation to the second - 0.492 eV/atom.

--- P ---
A plane-wave DFT calculation with SCAN was carried out for a PBEsol-optimized structure of LiBeSbTe2.

extended XYZ file:
```
5
Lattice="5.015 0.000 0.000 0.000 5.015 0.000 0.000 0.000 4.793" Properties=species:S:1:pos:R:3 pbc="T T T"
Li 0.000 0.000 0.000
Be 2.507 2.507 2.396
Sb 0.000 0.000 2.396
Te 0.000 2.507 0.000
Te 2.507 0.000 0.000
```

## Properties
- spin magnetization (Bohr magnetons per cell) = 0.00
- volume (Å³ per cell) = 121

--- Q ---
A plane-wave DFT calculation with SCAN was carried out for a PBEsol-optimized structure of LiBeSbTe2.

extended XYZ file:
```
5
Lattice="5.232 0.000 0.000 0.000 5.232 0.000 0.000 0.000 4.639" Properties=species:S:1:pos:R:3 pbc="T T T"
Li 0.000 0.000 0.000
Be 2.616 2.616 2.319
Sb 2.616 2.616 0.000
Te 0.000 2.616 2.319
Te 2.616 0.000 2.319
```

## Properties
- spin magnetization (Bohr magnetons per cell) = 0.00
- volume (Å³ per cell) = 127

Most stable structure - Q; separation to the second - 0.612 eV/atom.

--- P ---
A plane-wave DFT calculation with SCAN was carried out for a PBEsol-optimized structure of Li2BeSe.

extended XYZ file:
```
4
Lattice="3.430 0.000 0.000 0.000 3.430 0.000 0.000 0.000 4.828" Properties=species:S:1:pos:R:3 pbc="T T T"
Li 0.000 0.000 1.145
Li 0.000 0.000 3.684
Be 1.715 1.715 2.414
Se 1.715 1.715 0.000
```

## Properties
- spin magnetization (Bohr magnetons per cell) = 0.00
- volume (Å³ per cell) = 57

--- Q ---
A plane-wave DFT calculation with SCAN was carried out for a PBEsol-optimized structure of Li2BeSe.

extended XYZ file:
```
4
Lattice="3.493 0.000 0.000 0.000 1.839 4.855 0.000 -1.839 4.855" Properties=species:S:1:pos:R:3 pbc="T T T"
Li 0.000 0.000 0.000
Li 1.746 0.000 3.017
Be 1.746 0.000 5.716
Se 0.000 0.000 7.032
```

## Properties
- spin magnetization (Bohr magnetons per cell) = 0.00
- volume (Å³ per cell) = 62

Most stable structure - Q; separation to the second - 0.215 eV/atom.

--- P ---
A plane-wave DFT calculation with SCAN was carried out for a PBEsol-optimized structure of Li2BeSi.

extended XYZ file:
```
4
Lattice="0.000 2.849 2.849 2.849 0.000 2.849 2.849 2.849 0.000" Properties=species:S:1:pos:R:3 pbc="T T T"
Li 0.000 0.000 0.000
Li 1.424 1.424 1.424
Be 4.273 4.273 4.273
Si 2.849 2.849 2.849
```

## Properties
- spin magnetization (Bohr magnetons per cell) = 0.00
- volume (Å³ per cell) = 46

--- Q ---
A plane-wave DFT calculation with SCAN was carried out for a PBEsol-optimized structure of Li2BeSi.

extended XYZ file:
```
4
Lattice="0.000 2.874 2.874 2.874 0.000 2.874 2.874 2.874 0.000" Properties=species:S:1:pos:R:3 pbc="T T T"
Li 1.437 1.437 1.437
Li 4.311 4.311 4.311
Be 0.000 0.000 0.000
Si 2.874 2.874 2.874
```

## Properties
- spin magnetization (Bohr magnetons per cell) = 0.00
- volume (Å³ per cell) = 47

Most stable structure - P; separation to the second - 0.295 eV/atom.

--- P ---
A plane-wave DFT calculation with SCAN was carried out for a PBEsol-optimized structure of Li2BeTc.

extended XYZ file:
```
4
Lattice="1.308 0.755 9.073 -1.308 0.755 9.073 0.000 -1.511 9.073" Properties=species:S:1:pos:R:3 pbc="T T T"
Li 0.000 0.000 0.000
Li 0.000 0.000 6.491
Be 0.000 0.000 13.343
Tc 0.000 0.000 20.468
```

## Properties
- spin magnetization (Bohr magnetons per cell) = 0.08
- volume (Å³ per cell) = 54

--- Q ---
A plane-wave DFT calculation with SCAN was carried out for a PBEsol-optimized structure of Li2BeTc.

extended XYZ file:
```
4
Lattice="1.279 0.738 9.085 -1.279 0.738 9.085 0.000 -1.477 9.085" Properties=species:S:1:pos:R:3 pbc="T T T"
Li 0.000 0.000 6.767
Li 0.000 0.000 20.487
Be 0.000 0.000 13.627
Tc 0.000 0.000 0.000
```

## Properties
- spin magnetization (Bohr magnetons per cell) = 0.10
- volume (Å³ per cell) = 51

Most stable structure - P; separation to the second - 0.084 eV/atom.

--- P ---
A plane-wave DFT calculation with SCAN was carried out for a PBEsol-optimized structure of Li2BeTc.

extended XYZ file:
```
4
Lattice="-1.207 2.285 4.438 1.207 -2.285 4.438 1.207 2.285 -4.438" Properties=species:S:1:pos:R:3 pbc="T T T"
Li 0.000 0.000 0.000
Li 0.000 2.285 2.181
Be 0.000 0.000 4.539
Tc 1.207 0.000 2.518
```

## Properties
- spin magnetization (Bohr magnetons per cell) = 0.18
- volume (Å³ per cell) = 49

--- Q ---
A plane-wave DFT calculation with SCAN was carried out for a PBEsol-optimized structure of Li2BeTc.

extended XYZ file:
```
4
Lattice="4.463 -1.190 0.000 4.463 1.190 0.000 -1.439 0.000 4.608" Properties=species:S:1:pos:R:3 pbc="T T T"
Li 0.000 0.000 0.000
Li 0.864 0.000 4.013
Be 5.752 0.000 1.793
Tc 3.324 0.000 2.166
```

## Properties
- spin magnetization (Bohr magnetons per cell) = 0.08
- volume (Å³ per cell) = 49

Most stable structure - Q; separation to the second - 0.114 eV/atom.

--- P ---
A plane-wave DFT calculation with SCAN was carried out for a PBEsol-optimized structure of LiBeTl2.

extended XYZ file:
```
4
Lattice="3.221 -4.183 0.000 3.221 4.183 0.000 -1.352 0.000 2.931" Properties=species:S:1:pos:R:3 pbc="T T T"
Li 0.000 0.000 0.000
Be 3.221 0.000 0.000
Tl 0.934 2.091 1.465
Tl 0.934 -2.091 1.465
```

## Properties
- spin magnetization (Bohr magnetons per cell) = 0.00
- volume (Å³ per cell) = 79

--- Q ---
A plane-wave DFT calculation with SCAN was carried out for a PBEsol-optimized structure of LiBeTl2.

extended XYZ file:
```
4
Lattice="-2.384 2.384 3.293 2.384 -2.384 3.293 2.384 2.384 -3.293" Properties=species:S:1:pos:R:3 pbc="T T T"
Li 0.000 0.000 0.000
Be 0.000 0.000 3.293
Tl 2.384 0.000 1.647
Tl 0.000 2.384 1.647
```

## Properties
- spin magnetization (Bohr magnetons per cell) = 0.00
- volume (Å³ per cell) = 75

--- R ---
A plane-wave DFT calculation with SCAN was carried out for a PBEsol-optimized structure of LiBeTl2.

extended XYZ file:
```
4
Lattice="3.512 0.000 0.000 0.000 4.016 0.000 0.000 0.000 5.422" Properties=species:S:1:pos:R:3 pbc="T T T"
Li 0.000 0.000 0.000
Be 1.756 2.008 3.873
Tl 0.000 0.000 2.863
Tl 1.756 2.008 1.068
```

## Properties
- spin magnetization (Bohr magnetons per cell) = 0.00
- volume (Å³ per cell) = 76

--- S ---
A plane-wave DFT calculation with SCAN was carried out for a PBEsol-optimized structure of LiBeTl2.

extended XYZ file:
```
4
Lattice="-2.009 2.009 4.784 2.009 -2.009 4.784 2.009 2.009 -4.784" Properties=species:S:1:pos:R:3 pbc="T T T"
Li 0.000 0.000 0.000
Be 2.009 0.000 2.392
Tl 0.000 0.000 4.784
Tl 0.000 2.009 2.392
```

## Properties
- spin magnetization (Bohr magnetons per cell) = 0.00
- volume (Å³ per cell) = 77

Most stable structure - Q; separation to the second - 0.044 eV/atom.